No. 1
Compound: Sr2NdOsO8
Source: Alexandria via LeMat-Bulk
Functional: PBE-GGA
Structure: optimized geometry

Results
The crystal system is monoclinic. The uncorrected formation energy is -23.0 eV per formula unit.

Cell: 4.9931 5.3164 7.0501 Å, 89.98 90.01 91.99°
Site moments in Bohr magnetons follow the coordinates.
Sites, in units of the cell vectors:
Sr (0.4998, 0.4998, 0.7621)  0.01
Sr (0.5002, 0.5002, 0.2379)  0.01
Nd (0.0000, 0.0000, 0.5000)  -0.01
Os (0.0000, 0.0000, 0.0000)  -0.02
O (0.1131, 0.7852, 0.1981)  0.01
O (0.6763, 0.8241, 0.9998)  0.02
O (0.8865, 0.2146, 0.1979)  0.01
O (0.8869, 0.2148, 0.8019)  0.01
O (0.3237, 0.1759, 0.0002)  0.02
O (0.1135, 0.7854, 0.8021)  0.01
O (0.5828, 0.7854, 0.5001)  0.42
O (0.4172, 0.2146, 0.4999)  0.42

No. 2
Compound: Ba3TaTl
Source: Alexandria via LeMat-Bulk
Functional: PBE-GGA
Structure: optimized geometry

Results
The energy relative to the elements comes out at 783 meV/atom. The crystal system is cubic. The value obtained for the polymorph energy (0 for the lowest one) is 0 meV per atom.

Cell: 6.1577 6.1577 6.1577 Å, 90.00 90.00 90.00°
Sites, in units of the cell vectors:
Tl (0.5000, 0.5000, 0.5000)
Ba (0.0000, 0.5000, 0.0000)
Ba (0.0000, 0.0000, 0.5000)
Ba (0.5000, 0.0000, 0.0000)
Ta (0.0000, 0.0000, 0.0000)

No. 3
Compound: NbCd2BF
Source: Alexandria via LeMat-Bulk
Functional: PBE-GGA
Structure: optimized geometry

Results
The crystal system is tetragonal. The uncorrected formation energy is 3.8 eV per formula unit.

Cell: 4.5655 4.4036 4.5655 Å, 90.00 90.00 90.00°
Site moments in Bohr magnetons follow the coordinates.
Sites, in units of the cell vectors:
Nb (0.0000, 0.5000, 0.0000)  1.19
F (0.0000, 0.0000, 0.0000)  0.03
B (0.5000, 0.5000, 0.5000)  -0.07
Cd (0.0000, 0.0000, 0.5000)  -0.01
Cd (0.5000, 0.0000, 0.0000)  -0.01

No. 4
Compound: PaZn4Ru
Source: Alexandria via LeMat-Bulk
Functional: PBE-GGA
Structure: optimized geometry

Results
The energy relative to the elements comes out at -84 meV/atom. The crystal system is monoclinic. The value obtained for the polymorph energy (0 for the lowest one) is 14 meV per atom.

Cell: 5.9041 4.9690 8.5211 Å, 73.05 83.04 65.44°
Sites, in units of the cell vectors:
Pa (0.7500, 0.3748, 0.2504)
Pa (0.2500, 0.6252, 0.7496)
Zn (0.8317, 0.2561, 0.9148)
Zn (0.6683, 0.8291, 0.9148)
Zn (0.6690, 0.0010, 0.5859)
Zn (0.3310, 0.9990, 0.4141)
Zn (0.1690, 0.5869, 0.4141)
Zn (0.3317, 0.1709, 0.0852)
Zn (0.8310, 0.4131, 0.5859)
Zn (0.1683, 0.7439, 0.0852)
Ru (0.2500, 0.1250, 0.7501)
Ru (0.7500, 0.8750, 0.2499)

No. 5
Compound: BaCa2In2Hg2
Source: Alexandria via LeMat-Bulk
Functional: PBE-GGA
Structure: optimized geometry

Results
The energy relative to the elements comes out at -425 meV/atom. The crystal system is trigonal.

Cell: 5.0663 5.0663 10.5552 Å, 76.11 76.11 60.00°
Sites, in units of the cell vectors:
Ba (0.0000, 0.0000, 0.0000)
Ca (0.1301, 0.1301, 0.6097)
Ca (0.8699, 0.8699, 0.3903)
In (0.7515, 0.7515, 0.7455)
In (0.2485, 0.2485, 0.2545)
Hg (0.5873, 0.5873, 0.2381)
Hg (0.4127, 0.4127, 0.7619)

No. 6
Compound: VAgSb
Source: Alexandria via LeMat-Bulk
Functional: PBE-GGA
Structure: optimized geometry

Results
The crystal system is monoclinic. The uncorrected formation energy is 0.4 eV per formula unit. The value obtained for the polymorph energy (0 for the lowest one) is 130 meV per atom.

Cell: 3.0248 5.6941 6.8025 Å, 90.00 90.10 90.00°
Site moments in Bohr magnetons follow the coordinates.
Sites, in units of the cell vectors:
Sb (0.0017, 0.2500, 0.2804)  -0.01
Sb (0.9983, 0.7500, 0.7196)  -0.01
Ag (0.9988, 0.2500, 0.7071)  0.00
Ag (0.0012, 0.7500, 0.2929)  0.00
V (0.5000, 0.0000, 0.0000)  0.41
V (0.5000, 0.5000, 0.0000)  0.41

No. 7
Compound: Rb2PbBrCl6
Source: Alexandria via LeMat-Bulk
Functional: PBE-GGA
Structure: optimized geometry

Results
The crystal system is tetragonal. The uncorrected formation energy is -10.5 eV per formula unit.

Cell: 8.3983 8.3983 7.8869 Å, 57.83 57.83 90.00°
Sites, in units of the cell vectors:
Pb (0.0000, 0.0000, 0.0000)
Br (0.5000, 0.5000, 0.0000)
Rb (0.7500, 0.2500, 0.5000)
Rb (0.2500, 0.7500, 0.5000)
Cl (0.2673, 0.2673, 0.4654)
Cl (0.7327, 0.7327, 0.5346)
Cl (0.2251, 0.2251, 0.0000)
Cl (0.7749, 0.7749, 0.0000)
Cl (0.7749, 0.2251, 0.0000)
Cl (0.2251, 0.7749, 0.0000)

No. 8
Compound: NbCrTc2
Source: Alexandria via LeMat-Bulk
Functional: PBE-GGA
Structure: optimized geometry

Results
The energy relative to the elements comes out at 580 meV/atom. The crystal system is tetragonal.

Cell: 6.9606 6.9606 5.5742 Å, 51.37 51.37 90.00°
Sites, in units of the cell vectors:
Cr (0.5000, 0.5000, 0.0000)
Cr (0.2500, 0.7500, 0.5000)
Nb (0.0000, 0.0000, 0.0000)
Nb (0.7500, 0.2500, 0.5000)
Tc (0.5893, 0.1250, 0.2500)
Tc (0.1607, 0.6250, 0.2500)
Tc (0.3750, 0.4107, 0.7500)
Tc (0.8750, 0.8393, 0.7500)